Arrangement P

Computed, not measured: crystalline Zr2CdPd4 at its relaxed geometry at the GGA-PBE level of DFT.

Computed properties:
D(E_F) = 3.96 states/eV/cell
Size of the total moment = 0.0 μB per formula unit

Geometry as CIF:
```
data_Zr2CdPd4
_chemical_formula_sum 'Zr2 Cd1 Pd4'
_symmetry_space_group_name_H-M 'P -1'
_symmetry_Int_Tables_number 2
_cell_length_a 4.302
_cell_length_b 5.066
_cell_length_c 6.484
_cell_angle_alpha 81.61
_cell_angle_beta 89.94
_cell_angle_gamma 64.88
loop_
_symmetry_equiv_pos_as_xyz
'x,y,z'
'-x,-y,-z'
loop_
_atom_site_label
_atom_site_fract_x
_atom_site_fract_y
_atom_site_fract_z
Zr1 0.207 0.085 0.188
Cd1 0.500 0.500 0.000
Pd1 0.091 0.319 0.737
Pd2 0.370 0.764 0.576
```


Arrangement Q

Computed, not measured: crystalline Zr2CdPd4 at its relaxed geometry at the GGA-PBE level of DFT.

Computed properties:
D(E_F) = 6.91 states/eV/cell
Size of the total moment = 0.0 μB per formula unit

Geometry as CIF:
```
data_Zr2CdPd4
_chemical_formula_sum 'Zr4 Cd2 Pd8'
_symmetry_space_group_name_H-M 'P 1'
_symmetry_Int_Tables_number 1
_cell_length_a 5.748
_cell_length_b 6.893
_cell_length_c 7.449
_cell_angle_alpha 111.41
_cell_angle_beta 105.22
_cell_angle_gamma 101.60
loop_
_symmetry_equiv_pos_as_xyz
'x,y,z'
loop_
_atom_site_label
_atom_site_fract_x
_atom_site_fract_y
_atom_site_fract_z
Zr1 0.000 0.000 0.000
Zr2 0.128 0.757 0.534
Zr3 0.470 0.514 0.156
Zr4 0.661 0.208 0.689
Cd1 0.257 0.337 0.450
Cd2 0.506 0.033 0.988
Pd1 0.079 0.601 0.832
Pd2 0.163 0.186 0.758
Pd3 0.331 0.901 0.283
Pd4 0.592 0.612 0.868
Pd5 0.651 0.778 0.588
Pd6 0.747 0.350 0.402
Pd7 0.840 0.924 0.311
Pd8 0.954 0.437 0.113
```


Which structure loses on stability? arrangement P does.


Arrangement P

Computed, not measured: crystalline Pm3Cd4 at its relaxed geometry at the GGA-PBE level of DFT.

Computed properties:
D(E_F) = 24.33 states/eV/cell
Size of the total moment = 0.0 μB per formula unit

Geometry as CIF:
```
data_Pm3Cd4
_chemical_formula_sum 'Pm9 Cd12'
_symmetry_space_group_name_H-M 'R -3 m'
_symmetry_Int_Tables_number 166
_symmetry_space_group_name_Hall '-R 3 2"'
_cell_length_a 5.3145
_cell_length_b 5.3145
_cell_length_c 25.9876
_cell_angle_alpha 90.00
_cell_angle_beta 90.00
_cell_angle_gamma 120.00
loop_
_atom_site_label
_atom_site_fract_x
_atom_site_fract_y
_atom_site_fract_z
Pm1 0.0000 0.0000 0.0000
Pm2 0.0000 0.0000 0.2486
Cd1 0.0000 0.0000 0.1256
Cd2 0.0000 0.0000 0.3812
```


Arrangement Q

Computed, not measured: crystalline Pm3Cd4 at its relaxed geometry at the GGA-PBE level of DFT.

Computed properties:
D(E_F) = 11.95 states/eV/cell
Size of the total moment = 0.0 μB per formula unit

Geometry as CIF:
```
data_Pm3Cd4
_chemical_formula_sum 'Pm6 Cd8'
_symmetry_space_group_name_H-M 'I m m m'
_symmetry_Int_Tables_number 71
_symmetry_space_group_name_Hall '-I 2 2'
_cell_length_a 3.515
_cell_length_b 5.019
_cell_length_c 21.449
_cell_angle_alpha 90.00
_cell_angle_beta 90.00
_cell_angle_gamma 90.00
loop_
_atom_site_label
_atom_site_fract_x
_atom_site_fract_y
_atom_site_fract_z
Pm1 0.000 0.000 0.000
Pm2 0.000 0.500 0.200
Cd1 0.000 0.000 0.433
Cd2 0.000 0.500 0.358
```


Which structure loses on stability? arrangement P does.


Arrangement P

Computed, not measured: crystalline Pm5Cd at its relaxed geometry at the GGA-PBE level of DFT.

Computed properties:
D(E_F) = 7.64 states/eV/cell
Size of the total moment = 0.0 μB per formula unit

Geometry as CIF:
```
data_Pm5Cd
_chemical_formula_sum 'Pm5 Cd1'
_symmetry_space_group_name_H-M 'P 4/m m m'
_symmetry_Int_Tables_number 123
_symmetry_space_group_name_Hall '-P 4 2'
_cell_length_a 3.671
_cell_length_b 3.671
_cell_length_c 14.391
_cell_angle_alpha 90.00
_cell_angle_beta 90.00
_cell_angle_gamma 90.00
loop_
_atom_site_label
_atom_site_fract_x
_atom_site_fract_y
_atom_site_fract_z
Pm1 0.000 0.000 0.000
Pm2 0.000 0.000 0.355
Pm3 0.500 0.500 0.178
Cd1 0.500 0.500 0.500
```


Arrangement Q

Computed, not measured: crystalline Pm5Cd at its relaxed geometry at the GGA-PBE level of DFT.

Computed properties:
D(E_F) = 14.06 states/eV/cell
Size of the total moment = 0.0 μB per formula unit

Geometry as CIF:
```
data_Pm5Cd
_chemical_formula_sum 'Pm10 Cd2'
_symmetry_space_group_name_H-M 'C 1 m 1'
_symmetry_Int_Tables_number 8
_cell_length_a 12.620
_cell_length_b 3.768
_cell_length_c 8.677
_cell_angle_alpha 90.00
_cell_angle_beta 110.04
_cell_angle_gamma 90.00
loop_
_symmetry_equiv_pos_as_xyz
'x,y,z'
'x,-y,z'
'x+1/2,y+1/2,z'
'x+1/2,-y+1/2,z'
loop_
_atom_site_label
_atom_site_fract_x
_atom_site_fract_y
_atom_site_fract_z
Pm1 0.000 0.000 0.000
Pm2 0.004 0.000 0.584
Pm3 0.135 0.500 0.350
Pm4 0.300 0.000 0.698
Pm5 0.334 0.000 0.211
Cd1 0.182 0.500 0.901
```


Arrangement R

Computed, not measured: crystalline Pm5Cd at its relaxed geometry at the GGA-PBE level of DFT.

Computed properties:
D(E_F) = 14.98 states/eV/cell
Size of the total moment = 0.0 μB per formula unit

Geometry as CIF:
```
data_Pm5Cd
_chemical_formula_sum 'Pm10 Cd2'
_symmetry_space_group_name_H-M 'C m m m'
_symmetry_Int_Tables_number 65
_symmetry_space_group_name_Hall '-C 2 2'
_cell_length_a 4.966
_cell_length_b 15.436
_cell_length_c 5.004
_cell_angle_alpha 90.00
_cell_angle_beta 90.00
_cell_angle_gamma 90.00
loop_
_atom_site_label
_atom_site_fract_x
_atom_site_fract_y
_atom_site_fract_z
Pm1 0.000 0.000 0.000
Pm2 0.000 0.163 0.500
Pm3 0.000 0.333 0.000
Cd1 0.000 0.500 0.500
```


Which structure loses on stability? arrangement R does.


Arrangement P

Computed, not measured: crystalline Pm4Cd at its relaxed geometry at the GGA-PBE level of DFT.

Computed properties:
D(E_F) = 13.46 states/eV/cell
Size of the total moment = 0.0 μB per formula unit

Geometry as CIF:
```
data_Pm4Cd
_chemical_formula_sum 'Pm8 Cd2'
_symmetry_space_group_name_H-M 'I 4/m m m'
_symmetry_Int_Tables_number 139
_symmetry_space_group_name_Hall '-I 4 2'
_cell_length_a 3.690
_cell_length_b 3.690
_cell_length_c 23.470
_cell_angle_alpha 90.00
_cell_angle_beta 90.00
_cell_angle_gamma 90.00
loop_
_atom_site_label
_atom_site_fract_x
_atom_site_fract_y
_atom_site_fract_z
Pm1 0.000 0.000 0.088
Pm2 0.000 0.000 0.304
Cd1 0.000 0.000 0.500
```


Arrangement Q

Computed, not measured: crystalline Pm4Cd at its relaxed geometry at the GGA-PBE level of DFT.

Computed properties:
D(E_F) = 25.43 states/eV/cell
Size of the total moment = 0.0 μB per formula unit

Geometry as CIF:
```
data_Pm4Cd
_chemical_formula_sum 'Pm16 Cd4'
_symmetry_space_group_name_H-M 'C 1 2/c 1'
_symmetry_Int_Tables_number 15
_cell_length_a 6.927
_cell_length_b 18.182
_cell_length_c 6.149
_cell_angle_alpha 90.00
_cell_angle_beta 122.62
_cell_angle_gamma 90.00
loop_
_symmetry_equiv_pos_as_xyz
'x,y,z'
'-x,-y,-z'
'-x,y,-z+1/2'
'x,-y,z+1/2'
'x+1/2,y+1/2,z'
'-x+1/2,-y+1/2,-z'
'-x+1/2,y+1/2,-z+1/2'
'x+1/2,-y+1/2,z+1/2'
loop_
_atom_site_label
_atom_site_fract_x
_atom_site_fract_y
_atom_site_fract_z
Pm1 0.184 0.081 0.127
Pm2 0.237 0.288 0.240
Cd1 0.000 0.440 0.250
```


Arrangement R

Computed, not measured: crystalline Pm4Cd at its relaxed geometry at the GGA-PBE level of DFT.

Computed properties:
D(E_F) = 6.94 states/eV/cell
Size of the total moment = 0.0 μB per formula unit

Geometry as CIF:
```
data_Pm4Cd
_chemical_formula_sum 'Pm4 Cd1'
_symmetry_space_group_name_H-M 'P m -3 m'
_symmetry_Int_Tables_number 221
_symmetry_space_group_name_Hall '-P 4 2 3'
_cell_length_a 5.805
_cell_length_b 5.805
_cell_length_c 5.805
_cell_angle_alpha 90.00
_cell_angle_beta 90.00
_cell_angle_gamma 90.00
loop_
_atom_site_label
_atom_site_fract_x
_atom_site_fract_y
_atom_site_fract_z
Pm1 0.000 0.000 0.000
Pm2 0.000 0.500 0.500
Cd1 0.500 0.500 0.500
```


Which structure loses on stability? arrangement R does.


Arrangement P

Computed, not measured: crystalline Pm8Cd at its relaxed geometry at the GGA-PBE level of DFT.

Computed properties:
D(E_F) = 29.06 states/eV/cell
Size of the total moment = 0.0 μB per formula unit

Geometry as CIF:
```
data_Pm8Cd
_chemical_formula_sum 'Pm16 Cd2'
_symmetry_space_group_name_H-M 'I 4/m m m'
_symmetry_Int_Tables_number 139
_symmetry_space_group_name_Hall '-I 4 2'
_cell_length_a 12.545
_cell_length_b 12.545
_cell_length_c 3.767
_cell_angle_alpha 90.00
_cell_angle_beta 90.00
_cell_angle_gamma 90.00
loop_
_atom_site_label
_atom_site_fract_x
_atom_site_fract_y
_atom_site_fract_z
Pm1 0.000 0.334 0.000
Pm2 0.157 0.157 0.500
Cd1 0.000 0.000 0.000
```


Arrangement Q

Computed, not measured: crystalline Pm8Cd at its relaxed geometry at the GGA-PBE level of DFT.

Computed properties:
D(E_F) = 26.81 states/eV/cell
Size of the total moment = 0.0 μB per formula unit

Geometry as CIF:
```
data_Pm8Cd
_chemical_formula_sum 'Pm16 Cd2'
_symmetry_space_group_name_H-M 'I 4/m m m'
_symmetry_Int_Tables_number 139
_symmetry_space_group_name_Hall '-I 4 2'
_cell_length_a 10.797
_cell_length_b 10.797
_cell_length_c 5.064
_cell_angle_alpha 90.00
_cell_angle_beta 90.00
_cell_angle_gamma 90.00
loop_
_atom_site_label
_atom_site_fract_x
_atom_site_fract_y
_atom_site_fract_z
Pm1 0.000 0.331 0.000
Pm2 0.164 0.164 0.500
Cd1 0.000 0.000 0.000
```


Which structure loses on stability? arrangement P does.


Arrangement P

Computed, not measured: crystalline Pm5Cd2 at its relaxed geometry at the GGA-PBE level of DFT.

Computed properties:
D(E_F) = 15.12 states/eV/cell
Size of the total moment = 0.0 μB per formula unit

Geometry as CIF:
```
data_Pm5Cd2
_chemical_formula_sum 'Pm10 Cd4'
_symmetry_space_group_name_H-M 'C 1 2/m 1'
_symmetry_Int_Tables_number 12
_cell_length_a 9.578
_cell_length_b 5.534
_cell_length_c 8.757
_cell_angle_alpha 90.00
_cell_angle_beta 111.46
_cell_angle_gamma 90.00
loop_
_symmetry_equiv_pos_as_xyz
'x,y,z'
'-x,-y,-z'
'-x,y,-z'
'x,-y,z'
'x+1/2,y+1/2,z'
'-x+1/2,-y+1/2,-z'
'-x+1/2,y+1/2,-z'
'x+1/2,-y+1/2,z'
loop_
_atom_site_label
_atom_site_fract_x
_atom_site_fract_y
_atom_site_fract_z
Pm1 0.000 0.000 0.000
Pm2 0.075 0.500 0.724
Pm3 0.158 0.000 0.474
Cd1 0.211 0.500 0.133
```


Arrangement Q

Computed, not measured: crystalline Pm5Cd2 at its relaxed geometry at the GGA-PBE level of DFT.

Computed properties:
D(E_F) = 31.76 states/eV/cell
Size of the total moment = 0.0 μB per formula unit

Geometry as CIF:
```
data_Pm5Cd2
_chemical_formula_sum 'Pm20 Cd8'
_symmetry_space_group_name_H-M 'C 1 2/c 1'
_symmetry_Int_Tables_number 15
_cell_length_a 16.224
_cell_length_b 7.994
_cell_length_c 6.701
_cell_angle_alpha 90.00
_cell_angle_beta 92.71
_cell_angle_gamma 90.00
loop_
_symmetry_equiv_pos_as_xyz
'x,y,z'
'-x,-y,-z'
'-x,y,-z+1/2'
'x,-y,z+1/2'
'x+1/2,y+1/2,z'
'-x+1/2,-y+1/2,-z'
'-x+1/2,y+1/2,-z+1/2'
'x+1/2,-y+1/2,z+1/2'
loop_
_atom_site_label
_atom_site_fract_x
_atom_site_fract_y
_atom_site_fract_z
Pm1 0.000 0.030 0.250
Pm2 0.079 0.358 0.524
Pm3 0.234 0.068 0.704
Cd1 0.123 0.257 0.011
```


Which structure loses on stability? arrangement Q does.


Arrangement P

Computed, not measured: crystalline Pm2Cd at its relaxed geometry at the GGA-PBE level of DFT.

Computed properties:
D(E_F) = 8.45 states/eV/cell
Size of the total moment = 0.0 μB per formula unit

Geometry as CIF:
```
data_Pm2Cd
_chemical_formula_sum 'Pm4 Cd2'
_symmetry_space_group_name_H-M 'I 4/m m m'
_symmetry_Int_Tables_number 139
_symmetry_space_group_name_Hall '-I 4 2'
_cell_length_a 3.725
_cell_length_b 3.725
_cell_length_c 13.124
_cell_angle_alpha 90.00
_cell_angle_beta 90.00
_cell_angle_gamma 90.00
loop_
_atom_site_label
_atom_site_fract_x
_atom_site_fract_y
_atom_site_fract_z
Pm1 0.000 0.000 0.155
Cd1 0.000 0.000 0.500
```


Arrangement Q

Computed, not measured: crystalline Pm2Cd at its relaxed geometry at the GGA-PBE level of DFT.

Computed properties:
D(E_F) = 4.87 states/eV/cell
Size of the total moment = 0.0 μB per formula unit

Geometry as CIF:
```
data_Pm2Cd
_chemical_formula_sum 'Pm4 Cd2'
_symmetry_space_group_name_H-M 'P -1'
_symmetry_Int_Tables_number 2
_cell_length_a 3.648
_cell_length_b 6.565
_cell_length_c 8.257
_cell_angle_alpha 76.64
_cell_angle_beta 77.26
_cell_angle_gamma 73.98
loop_
_symmetry_equiv_pos_as_xyz
'x,y,z'
'-x,-y,-z'
loop_
_atom_site_label
_atom_site_fract_x
_atom_site_fract_y
_atom_site_fract_z
Pm1 0.091 0.152 0.165
Pm2 0.349 0.255 0.544
Cd1 0.370 0.601 0.159
```


Which structure loses on stability? arrangement Q does.


Arrangement P

Computed, not measured: crystalline Pm3Pr6Cd at its relaxed geometry at the GGA-PBE level of DFT.

Computed properties:
D(E_F) = 90.66 states/eV/cell
Size of the total moment = 0.0 μB per formula unit

Geometry as CIF:
```
data_Pm3Pr6Cd
_chemical_formula_sum 'Pm18 Pr36 Cd6'
_symmetry_space_group_name_H-M 'R -3'
_symmetry_Int_Tables_number 148
_symmetry_space_group_name_Hall '-R 3'
_cell_length_a 13.8013
_cell_length_b 13.8013
_cell_length_c 12.3834
_cell_angle_alpha 90.00
_cell_angle_beta 90.00
_cell_angle_gamma 120.00
loop_
_atom_site_label
_atom_site_fract_x
_atom_site_fract_y
_atom_site_fract_z
Pm1 0.0575 0.5280 0.1182
Pr1 0.0060 0.2590 0.0018
Pr2 0.0760 0.1772 0.7604
Cd1 0.0000 0.0000 0.0000
Cd2 0.0000 0.0000 0.5000
```


Arrangement Q

Computed, not measured: crystalline Pm3Pr6Cd at its relaxed geometry at the GGA-PBE level of DFT.

Computed properties:
D(E_F) = 29.82 states/eV/cell
Size of the total moment = 0.0 μB per formula unit

Geometry as CIF:
```
data_Pm3Pr6Cd
_chemical_formula_sum 'Pm6 Pr12 Cd2'
_symmetry_space_group_name_H-M 'P 1 21/m 1'
_symmetry_Int_Tables_number 11
_cell_length_a 11.266
_cell_length_b 5.231
_cell_length_c 11.614
_cell_angle_alpha 90.00
_cell_angle_beta 92.31
_cell_angle_gamma 90.00
loop_
_symmetry_equiv_pos_as_xyz
'x,y,z'
'-x,-y,-z'
'-x,y+1/2,-z'
'x,-y+1/2,z'
loop_
_atom_site_label
_atom_site_fract_x
_atom_site_fract_y
_atom_site_fract_z
Pm1 0.051 0.250 0.403
Pm2 0.155 0.750 0.209
Pm3 0.254 0.250 0.012
Pr1 0.050 0.750 0.899
Pr2 0.155 0.250 0.703
Pr3 0.268 0.750 0.508
Pr4 0.346 0.750 0.816
Pr5 0.366 0.250 0.318
Pr6 0.455 0.750 0.110
Cd1 0.445 0.250 0.609
```


Which structure loses on stability? arrangement P does.


Arrangement P

Computed, not measured: crystalline Pm3PrCd at its relaxed geometry at the GGA-PBE level of DFT.

Computed properties:
D(E_F) = 14.08 states/eV/cell
Size of the total moment = 0.0 μB per formula unit

Geometry as CIF:
```
data_Pm3PrCd
_chemical_formula_sum 'Pm6 Pr2 Cd2'
_symmetry_space_group_name_H-M 'P -1'
_symmetry_Int_Tables_number 2
_cell_length_a 3.787
_cell_length_b 6.892
_cell_length_c 12.990
_cell_angle_alpha 87.33
_cell_angle_beta 89.98
_cell_angle_gamma 74.05
loop_
_symmetry_equiv_pos_as_xyz
'x,y,z'
'-x,-y,-z'
loop_
_atom_site_label
_atom_site_fract_x
_atom_site_fract_y
_atom_site_fract_z
Pm1 0.039 0.422 0.190
Pm2 0.146 0.209 0.448
Pm3 0.367 0.768 0.027
Pr1 0.228 0.044 0.750
Cd1 0.446 0.608 0.373
```


Arrangement Q

Computed, not measured: crystalline Pm3PrCd at its relaxed geometry at the GGA-PBE level of DFT.

Computed properties:
D(E_F) = 23.56 states/eV/cell
Size of the total moment = 0.0 μB per formula unit

Geometry as CIF:
```
data_Pm3PrCd
_chemical_formula_sum 'Pm12 Pr4 Cd4'
_symmetry_space_group_name_H-M 'P n m a'
_symmetry_Int_Tables_number 62
_cell_length_a 11.075
_cell_length_b 5.421
_cell_length_c 10.978
_cell_angle_alpha 90.00
_cell_angle_beta 90.00
_cell_angle_gamma 90.00
loop_
_symmetry_equiv_pos_as_xyz
'x,y,z'
'-x,-y,-z'
'-x+1/2,-y,z+1/2'
'x+1/2,y,-z+1/2'
'x+1/2,-y+1/2,-z+1/2'
'-x+1/2,y+1/2,z+1/2'
'-x,y+1/2,-z'
'x,-y+1/2,z'
loop_
_atom_site_label
_atom_site_fract_x
_atom_site_fract_y
_atom_site_fract_z
Pm1 0.067 0.250 0.109
Pm2 0.092 0.750 0.333
Pm3 0.129 0.750 0.669
Pr1 0.226 0.250 0.495
Cd1 0.130 0.250 0.835
```


Which structure loses on stability? arrangement Q does.